! Li2MgCr2 PBE relaxed; values from VASP
&SYSTEM
  ibrav = 0, nat = 5, ntyp = 3
/
ATOMIC_SPECIES
Li 6.94 Li.upf
Mg 24.30 Mg.upf
Cr 52.00 Cr.upf
ATOMIC_POSITIONS angstrom
Li 0.000 0.000 1.776
Li 0.000 0.000 14.336
Mg 0.000 0.000 8.056
Cr 1.601 0.000 4.028
Cr 0.000 1.601 4.028
CELL_PARAMETERS angstrom
-1.601 1.601 8.056
1.601 -1.601 8.056
1.601 1.601 -8.056
! Symmetry   I4/mmm, No. 139


! Li2MgCr PBE relaxed; values from VASP
&SYSTEM
  ibrav = 0, nat = 4, ntyp = 3
/
ATOMIC_SPECIES
Li 6.94 Li.upf
Mg 24.30 Mg.upf
Cr 52.00 Cr.upf
ATOMIC_POSITIONS angstrom
Li 0.000 2.080 0.000
Li 2.080 0.000 0.000
Mg 0.000 0.000 2.215
Cr 2.080 2.080 2.215
CELL_PARAMETERS angstrom
4.160 0.000 0.000
0.000 4.160 0.000
0.000 0.000 4.429
! Symmetry   P4/mmm, No. 123


! LiMgCr3 PBE relaxed; values from VASP
&SYSTEM
  ibrav = 0, nat = 5, ntyp = 3
/
ATOMIC_SPECIES
Li 6.94 Li.upf
Mg 24.30 Mg.upf
Cr 52.00 Cr.upf
ATOMIC_POSITIONS angstrom
Li 0.000 0.000 0.000
Mg 2.047 2.047 2.047
Cr 0.000 0.000 2.047
Cr 0.000 2.047 0.000
Cr 2.047 0.000 0.000
CELL_PARAMETERS angstrom
4.094 0.000 0.000
0.000 4.094 0.000
0.000 0.000 4.094
! Symmetry   Pm-3m, No. 221


! Li2MgCr PBE relaxed; values from VASP
&SYSTEM
  ibrav = 0, nat = 4, ntyp = 3
/
ATOMIC_SPECIES
Li 6.94 Li.upf
Mg 24.30 Mg.upf
Cr 52.00 Cr.upf
ATOMIC_POSITIONS angstrom
Li 0.000 0.000 7.305
Li 0.000 0.000 22.402
Mg 0.000 0.000 0.000
Cr 0.000 0.000 14.853
CELL_PARAMETERS angstrom
1.494 0.862 9.902
-1.494 0.862 9.902
0.000 -1.725 9.902
! Symmetry   R-3m, No. 166


! Li2MgCr PBE relaxed; values from VASP
&SYSTEM
  ibrav = 0, nat = 4, ntyp = 3
/
ATOMIC_SPECIES
Li 6.94 Li.upf
Mg 24.30 Mg.upf
Cr 52.00 Cr.upf
ATOMIC_POSITIONS angstrom
Li 0.000 0.000 0.000
Li 1.569 0.000 2.565
Mg 0.000 0.000 5.134
Cr 1.569 0.000 7.395
CELL_PARAMETERS angstrom
1.569 -2.149 0.000
1.569 2.149 0.000
0.000 0.000 9.645
! Symmetry   Cmm2, No. 35


! Li2MgCr PBE relaxed; values from VASP
&SYSTEM
  ibrav = 0, nat = 4, ntyp = 3
/
ATOMIC_SPECIES
Li 6.94 Li.upf
Mg 24.30 Mg.upf
Cr 52.00 Cr.upf
ATOMIC_POSITIONS angstrom
Li 0.568 0.000 1.355
Li 1.924 0.000 3.818
Mg 1.488 2.462 0.000
Cr -0.242 2.462 2.586
CELL_PARAMETERS angstrom
2.976 0.000 0.000
0.000 4.923 0.000
-0.484 0.000 5.173
! Symmetry   P2/m, No. 10


! LiMgCr PBE relaxed; values from VASP
&SYSTEM
  ibrav = 0, nat = 3, ntyp = 3
/
ATOMIC_SPECIES
Li 6.94 Li.upf
Mg 24.30 Mg.upf
Cr 52.00 Cr.upf
ATOMIC_POSITIONS angstrom
Li 0.000 0.000 0.000
Mg 2.343 1.352 1.025
Cr 0.000 2.705 2.277
CELL_PARAMETERS angstrom
4.685 0.000 0.000
-2.343 4.057 0.000
0.000 0.000 2.958
! Symmetry   P3m1, No. 156


! Li2MgCr PBE relaxed; values from VASP
&SYSTEM
  ibrav = 0, nat = 4, ntyp = 3
/
ATOMIC_SPECIES
Li 6.94 Li.upf
Mg 24.30 Mg.upf
Cr 52.00 Cr.upf
ATOMIC_POSITIONS angstrom
Li 0.000 0.000 2.276
Li 0.000 0.000 7.501
Mg 1.496 0.000 4.889
Cr 1.496 0.000 0.000
CELL_PARAMETERS angstrom
1.496 -2.223 0.000
1.496 2.223 0.000
0.000 0.000 9.778
! Symmetry   Cmmm, No. 65


| no. | density (g/cm3) | E_tot (eV/atom) |
| --- | --- | --- |
| 1 | 2.86 | -4.390 |
| 2 | 1.95 | -3.417 |
| 3 | 4.53 | -5.021 |
| 4 | 1.96 | -3.408 |
| 5 | 2.30 | -3.363 |
| 6 | 1.98 | -3.436 |
| 7 | 2.46 | -3.972 |
| 8 | 2.30 | -3.330 |